# GGA-PBE DyTm3Cd, optimized geometry
data_DyTm3Cd
_cell_length_a 6.651
_cell_length_b 6.651
_cell_length_c 12.522
_cell_angle_alpha 93.98
_cell_angle_beta 93.98
_cell_angle_gamma 31.28
_space_group_name_H-M_alt 'P 1'
_space_group_IT_number 1
loop_
_space_group_symop_operation_xyz
'x,y,z'
loop_
_atom_site_label
_atom_site_type_symbol
_atom_site_fract_x
_atom_site_fract_y
_atom_site_fract_z
Dy1 Dy 0.234 0.234 0.256
Dy2 Dy 0.766 0.766 0.744
Tm1 Tm 0.034 0.034 0.688
Tm2 Tm 0.146 0.146 0.945
Tm3 Tm 0.365 0.365 0.520
Tm4 Tm 0.635 0.635 0.480
Tm5 Tm 0.854 0.854 0.055
Tm6 Tm 0.966 0.966 0.312
Cd1 Cd 0.441 0.441 0.874
Cd2 Cd 0.559 0.559 0.126
# * calculated volume: 286.8 Å³/cell
# * N(E_F): 14.301 states/eV/cell
# * E above lowest polymorph: 0 meV per atom
# * crystal system: monoclinic
# * ΔH_f (0 K): -0.5 eV/f.u.

***

# GGA-PBE Dy4TmCd, optimized geometry
data_Dy4TmCd
_cell_length_a 3.544
_cell_length_b 3.544
_cell_length_c 14.109
_cell_angle_alpha 90.00
_cell_angle_beta 90.00
_cell_angle_gamma 90.00
_space_group_name_H-M_alt 'P 1'
_space_group_IT_number 1
loop_
_space_group_symop_operation_xyz
'x,y,z'
loop_
_atom_site_label
_atom_site_type_symbol
_atom_site_fract_x
_atom_site_fract_y
_atom_site_fract_z
Dy1 Dy 0.000 0.000 0.148
Dy2 Dy 0.000 0.000 0.852
Dy3 Dy 0.500 0.500 0.325
Dy4 Dy 0.500 0.500 0.675
Tm1 Tm 0.000 0.000 0.500
Cd1 Cd 0.500 0.500 0.000
# * calculated volume: 177.2 Å³/cell
# * N(E_F): 8.051 states/eV/cell
# * E above lowest polymorph: 0 meV per atom
# * crystal system: tetragonal
# * ΔH_f (0 K): -0.5 eV/f.u.

***

# GGA-PBE Dy4Tm3Cd, optimized geometry
data_Dy4Tm3Cd
_cell_length_a 3.530
_cell_length_b 3.530
_cell_length_c 19.040
_cell_angle_alpha 90.00
_cell_angle_beta 90.00
_cell_angle_gamma 90.00
_space_group_name_H-M_alt 'P 1'
_space_group_IT_number 1
loop_
_space_group_symop_operation_xyz
'x,y,z'
loop_
_atom_site_label
_atom_site_type_symbol
_atom_site_fract_x
_atom_site_fract_y
_atom_site_fract_z
Dy1 Dy 0.000 0.000 0.111
Dy2 Dy 0.000 0.000 0.370
Dy3 Dy 0.000 0.000 0.630
Dy4 Dy 0.000 0.000 0.889
Tm1 Tm 0.500 0.500 0.240
Tm2 Tm 0.500 0.500 0.500
Tm3 Tm 0.500 0.500 0.760
Cd1 Cd 0.500 0.500 0.000
# * calculated volume: 237.3 Å³/cell
# * N(E_F): 10.989 states/eV/cell
# * crystal system: tetragonal
# * ΔH_f (0 K): -0.5 eV/f.u.

***

# GGA-PBE DyTm6Cd, optimized geometry
data_DyTm6Cd
_cell_length_a 6.564
_cell_length_b 6.564
_cell_length_c 6.361
_cell_angle_alpha 90.16
_cell_angle_beta 90.16
_cell_angle_gamma 120.38
_space_group_name_H-M_alt 'P 1'
_space_group_IT_number 1
loop_
_space_group_symop_operation_xyz
'x,y,z'
loop_
_atom_site_label
_atom_site_type_symbol
_atom_site_fract_x
_atom_site_fract_y
_atom_site_fract_z
Dy1 Dy 0.000 0.000 0.000
Tm1 Tm 0.004 0.579 0.252
Tm2 Tm 0.421 0.996 0.748
Tm3 Tm 0.427 0.427 0.251
Tm4 Tm 0.573 0.573 0.749
Tm5 Tm 0.579 0.004 0.252
Tm6 Tm 0.996 0.421 0.748
Cd1 Cd 0.000 0.000 0.500
# * calculated volume: 236.4 Å³/cell
# * N(E_F): 11.244 states/eV/cell
# * crystal system: monoclinic
# * ΔH_f (0 K): 1.1 eV/f.u.

***

# GGA-PBE DyTm2Cd2, optimized geometry
data_DyTm2Cd2
_cell_length_a 3.685
_cell_length_b 5.297
_cell_length_c 13.738
_cell_angle_alpha 90.00
_cell_angle_beta 97.69
_cell_angle_gamma 90.00
_space_group_name_H-M_alt 'P 1'
_space_group_IT_number 1
loop_
_space_group_symop_operation_xyz
'x,y,z'
loop_
_atom_site_label
_atom_site_type_symbol
_atom_site_fract_x
_atom_site_fract_y
_atom_site_fract_z
Dy1 Dy 0.149 0.250 0.298
Dy2 Dy 0.851 0.750 0.702
Tm1 Tm 0.046 0.750 0.092
Tm2 Tm 0.237 0.750 0.473
Tm3 Tm 0.763 0.250 0.527
Tm4 Tm 0.954 0.250 0.908
Cd1 Cd 0.359 0.250 0.717
Cd2 Cd 0.450 0.750 0.900
Cd3 Cd 0.550 0.250 0.100
Cd4 Cd 0.641 0.750 0.283
# * calculated volume: 265.7 Å³/cell
# * N(E_F): 8.857 states/eV/cell
# * crystal system: monoclinic
# * ΔH_f (0 K): -1.3 eV/f.u.

***

# GGA-PBE Dy5Tm4Cd, optimized geometry
data_Dy5Tm4Cd
_cell_length_a 3.526
_cell_length_b 3.526
_cell_length_c 24.010
_cell_angle_alpha 90.00
_cell_angle_beta 90.00
_cell_angle_gamma 90.00
_space_group_name_H-M_alt 'P 1'
_space_group_IT_number 1
loop_
_space_group_symop_operation_xyz
'x,y,z'
loop_
_atom_site_label
_atom_site_type_symbol
_atom_site_fract_x
_atom_site_fract_y
_atom_site_fract_z
Dy1 Dy 0.000 0.000 0.000
Dy2 Dy 0.000 0.000 0.206
Dy3 Dy 0.000 0.000 0.412
Dy4 Dy 0.000 0.000 0.588
Dy5 Dy 0.000 0.000 0.794
Tm1 Tm 0.500 0.500 0.103
Tm2 Tm 0.500 0.500 0.309
Tm3 Tm 0.500 0.500 0.691
Tm4 Tm 0.500 0.500 0.897
Cd1 Cd 0.500 0.500 0.500
# * calculated volume: 298.5 Å³/cell
# * N(E_F): 13.458 states/eV/cell
# * E above lowest polymorph: 0 meV per atom
# * crystal system: tetragonal
# * ΔH_f (0 K): -0.4 eV/f.u.

***

# GGA-PBE DyTmCd3, optimized geometry
data_DyTmCd3
_cell_length_a 14.738
_cell_length_b 14.738
_cell_length_c 4.953
_cell_angle_alpha 90.00
_cell_angle_beta 90.00
_cell_angle_gamma 166.56
_space_group_name_H-M_alt 'P 1'
_space_group_IT_number 1
loop_
_space_group_symop_operation_xyz
'x,y,z'
loop_
_atom_site_label
_atom_site_type_symbol
_atom_site_fract_x
_atom_site_fract_y
_atom_site_fract_z
Dy1 Dy 0.075 0.925 0.750
Dy2 Dy 0.925 0.075 0.250
Tm1 Tm 0.216 0.784 0.250
Tm2 Tm 0.784 0.216 0.750
Cd1 Cd 0.324 0.676 0.250
Cd2 Cd 0.378 0.622 0.750
Cd3 Cd 0.476 0.524 0.750
Cd4 Cd 0.524 0.476 0.250
Cd5 Cd 0.622 0.378 0.250
Cd6 Cd 0.676 0.324 0.750
# * calculated volume: 250.0 Å³/cell
# * N(E_F): 8.501 states/eV/cell
# * E above lowest polymorph: 0 meV per atom
# * crystal system: orthorhombic
# * ΔH_f (0 K): -1.4 eV/f.u.

***

# GGA-PBE DyTm3Cd, optimized geometry
data_DyTm3Cd
_cell_length_a 10.412
_cell_length_b 10.412
_cell_length_c 8.022
_cell_angle_alpha 90.00
_cell_angle_beta 90.00
_cell_angle_gamma 159.60
_space_group_name_H-M_alt 'P 1'
_space_group_IT_number 1
loop_
_space_group_symop_operation_xyz
'x,y,z'
loop_
_atom_site_label
_atom_site_type_symbol
_atom_site_fract_x
_atom_site_fract_y
_atom_site_fract_z
Dy1 Dy 0.020 0.980 0.750
Dy2 Dy 0.980 0.020 0.250
Tm1 Tm 0.188 0.812 0.750
Tm2 Tm 0.402 0.598 0.539
Tm3 Tm 0.402 0.598 0.961
Tm4 Tm 0.598 0.402 0.039
Tm5 Tm 0.598 0.402 0.461
Tm6 Tm 0.812 0.188 0.250
Cd1 Cd 0.191 0.809 0.250
Cd2 Cd 0.809 0.191 0.750
# * calculated volume: 303.2 Å³/cell
# * N(E_F): 15.748 states/eV/cell
# * E above lowest polymorph: 168 meV per atom
# * crystal system: orthorhombic
# * ΔH_f (0 K): 0.3 eV/f.u.